# Te2AsS

Te2AsS after structural relaxation (PBE-GGA, the Alexandria database).

Results
* ρ: 6.66 g/cm³
* V: 90.27 Å³/f.u.
* energy relative to the elements, uncorrected: 464 meV per atom

```
Te2AsS
1.0
7.121 0.000 0.000
0.000 7.121 0.000
0.000 0.000 7.121
Te As S
8 4 4
Direct
0.250 0.250 0.250 Te
0.250 0.250 0.750 Te
0.250 0.750 0.250 Te
0.250 0.750 0.750 Te
0.750 0.250 0.250 Te
0.750 0.250 0.750 Te
0.750 0.750 0.250 Te
0.750 0.750 0.750 Te
0.000 0.000 0.000 As
0.000 0.500 0.500 As
0.500 0.000 0.500 As
0.500 0.500 0.000 As
0.000 0.000 0.500 S
0.000 0.500 0.000 S
0.500 0.000 0.000 S
0.500 0.500 0.500 S
```

# BaTa4Sb

BaTa4Sb after structural relaxation (PBE-GGA, the Alexandria database).

Results
* ρ: 11.86 g/cm³
* V: 137.62 Å³/f.u.
* energy relative to the elements, uncorrected: 734 meV per atom

```
BaTa4Sb
1.0
0.000 4.098 4.098
4.098 0.000 4.098
4.098 4.098 0.000
Ba Ta Sb
1 4 1
Direct
0.000 0.000 0.000 Ba
0.371 0.371 0.371 Ta
0.371 0.371 0.886 Ta
0.371 0.886 0.371 Ta
0.886 0.371 0.371 Ta
0.750 0.750 0.750 Sb
```